VASP calculation (SCAN) on a crystal of GaNi2H relaxed with PBEsol.

Output
E_tot: -12.729 eV/atom
DOS at the Fermi energy: 9.184 states/eV/cell

Cell: 5.4182 5.4182 5.4182 Å, 90.00 90.00 90.00°
Space group Fm-3m (No. 225)
One atom of each set of equivalent atoms:
Ga 0.0000 0.0000 0.0000 (multiplicity 4)
Ni 0.2500 0.2500 0.2500 (multiplicity 8)
H 0.0000 0.0000 0.5000 (multiplicity 4)

***

VASP calculation (SCAN) on a crystal of HfNb3Ni relaxed with PBEsol.

Output
DOS at the Fermi energy: 6.667 states/eV/cell
ΔH_f (0 K): 0.66 eV/atom

Cell: 4.6089 4.6089 4.6089 Å, 90.00 90.00 90.00°
Space group Pm-3m (No. 221)
One atom of each set of equivalent atoms:
Hf 0.0000 0.0000 0.0000 (multiplicity 1)
Nb 0.0000 0.5000 0.5000 (multiplicity 3)
Ni 0.5000 0.5000 0.5000 (multiplicity 1)

***

VASP calculation (SCAN) on a crystal of Rb3LiBe relaxed with PBEsol.

Output
DOS at the Fermi energy: 4.118 states/eV/cell
ΔH_f (0 K): 0.82 eV/atom

Cell: 6.8064 6.8064 6.8064 Å, 90.00 90.00 90.00°
Space group Pm-3m (No. 221)
One atom of each set of equivalent atoms:
Rb 0.0000 0.0000 0.5000 (multiplicity 3)
Li 0.0000 0.0000 0.0000 (multiplicity 1)
Be 0.5000 0.5000 0.5000 (multiplicity 1)

***

VASP calculation (SCAN) on a crystal of VBO4 relaxed with PBEsol.

Output
DOS at the Fermi energy: 0.000 states/eV/cell
ΔE_f (raw): -2.484 eV per atom

Cell: 7.8980 7.9194 8.2144 Å, 116.84 106.26 93.61°
Space group P-1 (No. 2)
One atom of each set of equivalent atoms:
V 0.1494 0.0049 0.2672 (multiplicity 2)
V 0.2818 0.4318 0.0310 (multiplicity 2)
V 0.3146 0.6923 0.6005 (multiplicity 2)
B 0.0408 0.6091 0.2552 (multiplicity 2)
B 0.2429 0.0056 0.9338 (multiplicity 2)
B 0.4256 0.3189 0.6057 (multiplicity 2)
O 0.0498 0.9392 0.8120 (multiplicity 2)
O 0.0946 0.6535 0.4563 (multiplicity 2)
O 0.0962 0.7800 0.2389 (multiplicity 2)
O 0.1438 0.4639 0.1624 (multiplicity 2)
O 0.1538 0.4657 0.8433 (multiplicity 2)
O 0.2635 0.0083 0.1189 (multiplicity 2)
O 0.2646 0.1637 0.5124 (multiplicity 2)
O 0.3108 0.2020 0.9719 (multiplicity 2)
O 0.3413 0.8725 0.8299 (multiplicity 2)
O 0.3703 0.4848 0.5879 (multiplicity 2)
O 0.4487 0.7591 0.5002 (multiplicity 2)
O 0.4796 0.6133 0.1862 (multiplicity 2)

***

VASP calculation (SCAN) on a crystal of CrOs3 relaxed with PBEsol.

Output
DOS at the Fermi energy: 2.821 states/eV/cell
ΔH_f (0 K): 2.63 eV/atom

Cell: 4.3954 4.3954 4.3954 Å, 90.00 90.00 90.00°
Space group Pm-3m (No. 221)
One atom of each set of equivalent atoms:
Cr 0.0000 0.0000 0.0000 (multiplicity 1)
Os 0.0000 0.0000 0.5000 (multiplicity 3)

***

VASP calculation (SCAN) on a crystal of V3As relaxed with PBEsol.

Output
DOS at the Fermi energy: 4.556 states/eV/cell
ΔH_f (0 K): -0.54 eV/atom

Cell: 4.6745 4.6745 4.6745 Å, 90.00 90.00 90.00°
Space group Pm-3n (No. 223)
One atom of each set of equivalent atoms:
V 0.0000 0.2500 0.5000 (multiplicity 6)
As 0.0000 0.0000 0.0000 (multiplicity 2)

***

VASP calculation (SCAN) on a crystal of ZnAu4 relaxed with PBEsol.

Output
DOS at the Fermi energy: 3.516 states/eV/cell
ΔH_f (0 K): 0.10 eV/atom

Cell: 3.7037 3.7037 13.7504 Å, 90.00 90.00 90.00°
Space group I4/mmm (No. 139)
One atom of each set of equivalent atoms:
Zn 0.0000 0.0000 0.0000 (multiplicity 2)
Au 0.0000 0.0000 0.4060 (multiplicity 4)
Au 0.0000 0.5000 0.2500 (multiplicity 4)

***

VASP calculation (SCAN) on a crystal of InIr relaxed with PBEsol.

Output
DOS at the Fermi energy: 6.857 states/eV/cell
ΔH_f (0 K): 0.16 eV/atom

Cell: 10.6866 2.9602 6.6822 Å, 90.00 105.24 90.00°
Space group Cm (No. 8)
One atom of each set of equivalent atoms:
In 0.0000 0.0000 0.0000 (multiplicity 2)
In 0.0472 0.0000 0.5527 (multiplicity 2)
In 0.3148 0.0000 0.6311 (multiplicity 2)
Ir 0.1649 0.5000 0.2926 (multiplicity 2)
Ir 0.2158 0.5000 0.9013 (multiplicity 2)
Ir 0.3696 0.0000 0.2542 (multiplicity 2)

***

VASP calculation (SCAN) on a crystal of KLiTa2 relaxed with PBEsol.

Output
DOS at the Fermi energy: 3.218 states/eV/cell
E above lowest polymorph: 0.000 eV per atom
ΔH_f (0 K): 0.71 eV/atom

Cell: 3.0274 3.7372 8.7348 Å, 90.00 90.11 90.00°
Space group Pm (No. 6)
One atom of each set of equivalent atoms:
K 0.0000 0.0000 0.0000 (multiplicity 1)
Li 0.5003 0.5000 0.3344 (multiplicity 1)
Ta 0.0020 0.0000 0.5234 (multiplicity 1)
Ta 0.5030 0.5000 0.6737 (multiplicity 1)

***

VASP calculation (SCAN) on a crystal of CdRu2Br relaxed with PBEsol.

Output
DOS at the Fermi energy: 9.492 states/eV/cell
E above lowest polymorph: 0.231 eV per atom
ΔE_f (raw): 0.926 eV per atom

Cell: 2.8836 5.0822 8.9041 Å, 90.00 90.00 90.00°
Space group Cmmm (No. 65)
One atom of each set of equivalent atoms:
Cd 0.0000 0.0000 0.0000 (multiplicity 2)
Ru 0.0000 0.5000 0.2627 (multiplicity 4)
Br 0.0000 0.0000 0.5000 (multiplicity 2)

***

VASP calculation (SCAN) on a crystal of Eu4As3 relaxed with PBEsol.

Output
DOS at the Fermi energy: 108.680 states/eV/cell
ΔH_f (0 K): -1.38 eV/atom

Cell: 8.9855 8.9855 8.9855 Å, 90.00 90.00 90.00°
Space group I-43d (No. 220)
One atom of each set of equivalent atoms:
Eu 0.0690 0.4310 0.5690 (multiplicity 16)
As 0.0000 0.2500 0.8750 (multiplicity 12)

***

VASP calculation (SCAN) on a crystal of ScIrRh2 relaxed with PBEsol.

Output
DOS at the Fermi energy: 4.816 states/eV/cell
ΔH_f (0 K): -0.60 eV/atom

Cell: 3.9026 3.9026 7.7048 Å, 90.00 90.00 90.00°
Space group I4/mmm (No. 139)
One atom of each set of equivalent atoms:
Sc 0.0000 0.0000 0.0000 (multiplicity 2)
Ir 0.0000 0.0000 0.5000 (multiplicity 2)
Rh 0.0000 0.5000 0.2500 (multiplicity 4)

***

VASP calculation (SCAN) on a crystal of TiPb3S relaxed with PBEsol.

Output
DOS at the Fermi energy: 3.416 states/eV/cell
ΔE_f (raw): 0.519 eV per atom

Cell: 5.3446 5.3446 5.3446 Å, 90.00 90.00 90.00°
Space group Pm-3m (No. 221)
One atom of each set of equivalent atoms:
Ti 0.0000 0.0000 0.0000 (multiplicity 1)
Pb 0.0000 0.5000 0.5000 (multiplicity 3)
S 0.5000 0.5000 0.5000 (multiplicity 1)

***

VASP calculation (SCAN) on a crystal of AgHPt3 relaxed with PBEsol.

Output
DOS at the Fermi energy: 3.954 states/eV/cell
E above lowest polymorph: 0.000 eV per atom

Cell: 3.9997 3.9997 3.9997 Å, 90.00 90.00 90.00°
Space group Pm-3m (No. 221)
One atom of each set of equivalent atoms:
Ag 0.0000 0.0000 0.0000 (multiplicity 1)
H 0.5000 0.5000 0.5000 (multiplicity 1)
Pt 0.0000 0.5000 0.5000 (multiplicity 3)

***

VASP calculation (SCAN) on a crystal of Rb2ZrSi3O10 relaxed with PBEsol.

Output
DOS at the Fermi energy: 0.000 states/eV/cell
ΔE_f (raw): -2.745 eV per atom

Cell: 7.3228 10.6086 13.3042 Å, 90.00 90.00 90.00°
Space group P2_12_12_1 (No. 19)
One atom of each set of equivalent atoms:
Rb 0.1639 0.2328 0.1146 (multiplicity 4)
Rb 0.2408 0.0813 0.4124 (multiplicity 4)
Zr 0.2413 0.5649 0.2193 (multiplicity 4)
Si 0.0225 0.1617 0.6745 (multiplicity 4)
Si 0.0690 0.8616 0.1718 (multiplicity 4)
Si 0.2352 0.4616 0.4520 (multiplicity 4)
O 0.0116 0.6276 0.5718 (multiplicity 4)
O 0.0141 0.4457 0.2378 (multiplicity 4)
O 0.0381 0.3888 0.4354 (multiplicity 4)
O 0.0484 0.3102 0.6959 (multiplicity 4)
O 0.0600 0.7122 0.1976 (multiplicity 4)
O 0.0787 0.5883 0.7338 (multiplicity 4)
O 0.1042 0.6441 0.9270 (multiplicity 4)
O 0.2193 0.0939 0.6476 (multiplicity 4)
O 0.2360 0.5003 0.0686 (multiplicity 4)
O 0.2485 0.5782 0.3737 (multiplicity 4)

***

VASP calculation (SCAN) on a crystal of TcTe2ICl relaxed with PBEsol.

Output
DOS at the Fermi energy: 5.433 states/eV/cell
ΔE_f (raw): 0.335 eV per atom

Cell: 5.0839 5.0839 5.4501 Å, 90.00 90.00 90.00°
Space group P4/mmm (No. 123)
One atom of each set of equivalent atoms:
Tc 0.0000 0.0000 0.0000 (multiplicity 1)
Te 0.0000 0.5000 0.0000 (multiplicity 2)
I 0.0000 0.0000 0.5000 (multiplicity 1)
Cl 0.5000 0.5000 0.5000 (multiplicity 1)

***

VASP calculation (SCAN) on a crystal of Ba2CaTe2 relaxed with PBEsol.

Output
DOS at the Fermi energy: 5.394 states/eV/cell
E above lowest polymorph: 0.359 eV per atom
ΔE_f (raw): -1.148 eV per atom

Cell: 6.8293 6.8293 11.0959 Å, 90.00 90.00 90.00°
Space group I4/mmm (No. 139)
One atom of each set of equivalent atoms:
Ba 0.0000 0.5000 0.2500 (multiplicity 4)
Ca 0.0000 0.0000 0.0000 (multiplicity 2)
Te 0.0000 0.0000 0.2725 (multiplicity 4)

***

VASP calculation (SCAN) on a crystal of LiLa2Mg relaxed with PBEsol.

Output
DOS at the Fermi energy: 7.008 states/eV/cell
E above lowest polymorph: 0.021 eV per atom
ΔH_f (0 K): 0.01 eV/atom

Cell: 5.1370 3.4068 12.9527 Å, 90.00 90.00 90.00°
Space group Amm2 (No. 38)
One atom of each set of equivalent atoms:
Li 0.0000 0.0000 0.0000 (multiplicity 2)
La 0.0000 0.0000 0.2608 (multiplicity 2)
La 0.5000 0.0000 0.6210 (multiplicity 2)
Mg 0.5000 0.0000 0.8839 (multiplicity 2)

***

VASP calculation (SCAN) on a crystal of TaCrP2 relaxed with PBEsol.

Output
DOS at the Fermi energy: 2.130 states/eV/cell
E above lowest polymorph: 0.000 eV per atom
ΔH_f (0 K): -0.27 eV/atom

Cell: 3.0793 3.4608 5.2906 Å, 90.00 90.00 90.00°
Space group Pmmm (No. 47)
One atom of each set of equivalent atoms:
Ta 0.0000 0.0000 0.0000 (multiplicity 1)
Cr 0.5000 0.0000 0.5000 (multiplicity 1)
P 0.5000 0.5000 0.2274 (multiplicity 2)

***

VASP calculation (SCAN) on a crystal of TaAl3Co relaxed with PBEsol.

Output
DOS at the Fermi energy: 2.379 states/eV/cell
ΔH_f (0 K): 1.35 eV/atom

Cell: 4.8923 4.8923 4.8923 Å, 90.00 90.00 90.00°
Space group Pm-3m (No. 221)
One atom of each set of equivalent atoms:
Ta 0.0000 0.0000 0.0000 (multiplicity 1)
Al 0.0000 0.0000 0.5000 (multiplicity 3)
Co 0.5000 0.5000 0.5000 (multiplicity 1)

***

VASP calculation (SCAN) on a crystal of SrFeH2S relaxed with PBEsol.

Output
E_tot: -11.117 eV/atom
DOS at the Fermi energy: 2.689 states/eV/cell

Cell: 3.9990 3.9990 5.8532 Å, 90.00 90.00 90.00°
Space group P4/mmm (No. 123)
One atom of each set of equivalent atoms:
Sr 0.0000 0.0000 0.0000 (multiplicity 1)
Fe 0.5000 0.5000 0.5000 (multiplicity 1)
H 0.0000 0.5000 0.0000 (multiplicity 2)
S 0.0000 0.0000 0.5000 (multiplicity 1)

***

VASP calculation (SCAN) on a crystal of Mg7Pb relaxed with PBEsol.

Output
DOS at the Fermi energy: 9.966 states/eV/cell
ΔH_f (0 K): -0.07 eV/atom

Cell: 9.0335 9.0335 9.0335 Å, 90.00 90.00 90.00°
Space group Fm-3m (No. 225)
One atom of each set of equivalent atoms:
Mg 0.0000 0.0000 0.0000 (multiplicity 4)
Mg 0.0000 0.2500 0.2500 (multiplicity 24)
Pb 0.0000 0.0000 0.5000 (multiplicity 4)

***

VASP calculation (SCAN) on a crystal of LaZn2Re relaxed with PBEsol.

Output
DOS at the Fermi energy: 12.460 states/eV/cell
E above lowest polymorph: 0.380 eV per atom
ΔH_f (0 K): 0.53 eV/atom

Cell: 6.6423 6.6423 6.6423 Å, 90.00 90.00 90.00°
Space group F-43m (No. 216)
One atom of each set of equivalent atoms:
La 0.0000 0.0000 0.0000 (multiplicity 4)
Zn 0.0000 0.0000 0.5000 (multiplicity 4)
Zn 0.2500 0.2500 0.7500 (multiplicity 4)
Re 0.2500 0.2500 0.2500 (multiplicity 4)